No. 1
## KCa3Pd8 (PBE)

Data for KCa3Pd8 after structural relaxation.

Properties
Energy relative to the elements ... -6.52 eV per formula unit
Uncorrected energy ... -55.2 eV per formula unit
Spin magnetization ... 0.00 μB/cell
Space group ... No. 160

Unit cell a=9.5190 b=9.5190 c=9.5190 alpha=33.57 beta=33.57 gamma=33.57
Closest atoms and distances in Å follow each position.
Fractional coordinates of all 12 atoms:
K  0.0000  0.0000  0.0000  12 Pd 3.22-3.27, 4 Ca 3.32-3.34
Ca  0.3715  0.3715  0.3715  12 Pd 3.21-3.29, 3 K 3.34, 1 Ca 3.42
Ca  0.4987  0.4987  0.4987  12 Pd 3.18-3.22, 4 Ca 3.40-3.42
Ca  0.8768  0.8768  0.8768  12 Pd 3.16-3.24, 1 K 3.32, 3 Ca 3.40
Pd  0.1865  0.1865  0.1865  6 Pd 2.71
Pd  0.4356  0.4356  0.9325  6 Pd 2.71-2.80
Pd  0.4356  0.9325  0.4356  6 Pd 2.71-2.80
Pd  0.4415  0.9372  0.9372  6 Pd 2.71-2.78
Pd  0.6869  0.6869  0.6869  6 Pd 2.78-2.80
Pd  0.9325  0.4356  0.4356  6 Pd 2.71-2.80
Pd  0.9372  0.4415  0.9372  6 Pd 2.71-2.78
Pd  0.9372  0.9372  0.4415  6 Pd 2.71-2.78

No. 2
## KCa3Pd (PBE)

Data for KCa3Pd after structural relaxation.

Properties
Energy relative to the elements ... -1.29 eV per formula unit
Uncorrected energy ... -13.6 eV per formula unit
Spin magnetization ... 0.00 μB/cell
Space group ... No. 221

Unit cell a=5.8090 b=5.8090 c=5.8090 alpha=90.00 beta=90.00 gamma=90.00
Closest atoms and distances in Å follow each position.
Fractional coordinates of all 5 atoms:
K  0.0000  0.0000  0.0000  12 Ca 4.11
Ca  0.0000  0.5000  0.5000  2 Pd 2.90
Ca  0.5000  0.0000  0.5000  2 Pd 2.90
Ca  0.5000  0.5000  0.0000  2 Pd 2.90
Pd  0.5000  0.5000  0.5000  6 Ca 2.90

No. 3
## K2Ca2Pd (PBE)

Data for K2Ca2Pd after structural relaxation.

Properties
Energy relative to the elements ... -0.21 eV per formula unit
Uncorrected energy ... -11.6 eV per formula unit
Spin magnetization ... 0.00 μB/cell
Space group ... No. 127

Unit cell a=7.7398 b=7.7398 c=7.0963 alpha=90.00 beta=90.00 gamma=90.00
Closest atoms and distances in Å follow each position.
Fractional coordinates of all 10 atoms:
K  0.1844  0.3156  0.0000  2 Ca 3.85, 5 K 4.00-4.04
K  0.3156  0.8156  0.0000  2 Ca 3.85, 5 K 4.00-4.04
K  0.6844  0.1844  0.0000  2 Ca 3.85, 5 K 4.00-4.04
K  0.8156  0.6844  0.0000  2 Ca 3.85, 5 K 4.00-4.04
Ca  0.1782  0.6782  0.5000  2 Pd 2.85
Ca  0.3218  0.1782  0.5000  2 Pd 2.85
Ca  0.6782  0.8218  0.5000  2 Pd 2.85
Ca  0.8218  0.3218  0.5000  2 Pd 2.85
Pd  0.0000  0.0000  0.5000  4 Ca 2.85
Pd  0.5000  0.5000  0.5000  4 Ca 2.85

No. 4
## KCa2Pd (PBE)

Data for KCa2Pd after structural relaxation.

Properties
Energy relative to the elements ... -0.36 eV per formula unit
Uncorrected energy ... -10.7 eV per formula unit
Spin magnetization ... 0.00 μB/cell
Space group ... No. 122

Unit cell a=9.3875 b=9.3875 c=7.1045 alpha=90.00 beta=90.00 gamma=90.00
Closest atoms and distances in Å follow each position.
Fractional coordinates of all 16 atoms:
K  0.0000  0.0000  0.0000  2 Pd 3.55, 4 Ca 3.79
K  0.0000  0.5000  0.2500  2 Pd 3.55, 4 Ca 3.79
K  0.5000  0.0000  0.7500  2 Pd 3.55, 4 Ca 3.79
K  0.5000  0.5000  0.5000  2 Pd 3.55, 4 Ca 3.79
Ca  0.1411  0.7500  0.6250  2 Pd 2.84
Ca  0.2500  0.1411  0.3750  2 Pd 2.84
Ca  0.2500  0.3589  0.8750  2 Pd 2.84
Ca  0.3589  0.7500  0.1250  2 Pd 2.84
Ca  0.6411  0.2500  0.1250  2 Pd 2.84
Ca  0.7500  0.6411  0.8750  2 Pd 2.84
Ca  0.7500  0.8589  0.3750  2 Pd 2.84
Ca  0.8589  0.2500  0.6250  2 Pd 2.84
Pd  0.0000  0.0000  0.5000  4 Ca 2.84
Pd  0.0000  0.5000  0.7500  4 Ca 2.84
Pd  0.5000  0.0000  0.2500  4 Ca 2.84
Pd  0.5000  0.5000  0.0000  4 Ca 2.84

No. 5
## KCaPd4 (PBE)

Data for KCaPd4 after structural relaxation.

Properties
Energy relative to the elements ... -2.21 eV per formula unit
Uncorrected energy ... -26.1 eV per formula unit
Spin magnetization ... 0.00 μB/cell
Space group ... No. 216

Unit cell a=5.5238 b=5.5238 c=5.5238 alpha=60.00 beta=60.00 gamma=60.00
Closest atoms and distances in Å follow each position.
Fractional coordinates of all 6 atoms:
K  0.0000  0.0000  0.0000  12 Pd 3.24, 4 Ca 3.38
Ca  0.7500  0.7500  0.7500  12 Pd 3.24, 4 K 3.38
Pd  0.3753  0.3753  0.3753  6 Pd 2.75-2.77
Pd  0.3753  0.3753  0.8740  6 Pd 2.75-2.77
Pd  0.3753  0.8740  0.3753  6 Pd 2.75-2.77
Pd  0.8740  0.3753  0.3753  6 Pd 2.75-2.77

No. 6
## KCaPd2Rh (PBE)

Data for KCaPd2Rh after structural relaxation.

Properties
Energy relative to the elements ... 5.33 eV per formula unit
Uncorrected energy ... -15.5 eV per formula unit
Spin magnetization ... 0.42 μB/cell
Space group ... No. 123

Unit cell a=4.9124 b=4.9124 c=5.4254 alpha=90.00 beta=90.00 gamma=90.00
Closest atoms and distances in Å follow each position.
Fractional coordinates of all 5 atoms:
K  0.0000  0.0000  0.0000  2 Ca 2.71
Ca  0.0000  0.0000  0.5000  4 Pd 2.46, 2 K 2.71
Pd  0.0000  0.5000  0.5000  2 Ca 2.46
Pd  0.5000  0.0000  0.5000  2 Ca 2.46
Rh  0.5000  0.5000  0.0000  4 K 3.47, 8 Pd 3.66

No. 7
## KCaPd2S (PBE)

Data for KCaPd2S after structural relaxation.

Properties
Uncorrected energy ... -15.3 eV per formula unit
Spin magnetization ... 0.00 μB/cell
Energy relative to the elements, uncorrected ... 463 meV per atom
Space group ... No. 123

Unit cell a=4.8901 b=4.8901 c=5.6950 alpha=90.00 beta=90.00 gamma=90.00
Closest atoms and distances in Å follow each position.
Fractional coordinates of all 5 atoms:
K  0.0000  0.0000  0.0000  4 Pd 2.45
Ca  0.5000  0.5000  0.5000  4 S 3.46, 8 Pd 3.75
Pd  0.0000  0.5000  0.0000  2 K 2.45
Pd  0.5000  0.0000  0.0000  2 K 2.45
S  0.0000  0.0000  0.5000  2 K 2.85

No. 8
## KCaSb2Pd (PBE)

Data for KCaSb2Pd after structural relaxation.

Properties
Uncorrected energy ... -11.2 eV per formula unit
Spin magnetization ... 0.00 μB/cell
Energy relative to the elements, uncorrected ... 1063 meV per atom
Space group ... No. 123

Unit cell a=5.7611 b=5.7611 c=5.3333 alpha=90.00 beta=90.00 gamma=90.00
Closest atoms and distances in Å follow each position.
Fractional coordinates of all 5 atoms:
K  0.0000  0.0000  0.0000  2 Ca 2.67, 4 Sb 2.88
Ca  0.0000  0.0000  0.5000  2 K 2.67
Sb  0.0000  0.5000  0.0000  2 K 2.88
Sb  0.5000  0.0000  0.0000  2 K 2.88
Pd  0.5000  0.5000  0.5000  8 Sb 3.93, 4 Ca 4.07

No. 9
## KSr2CaPd (PBE)

Data for KSr2CaPd after structural relaxation.

Properties
Energy relative to the elements ... -1.25 eV per formula unit
Uncorrected energy ... -12.9 eV per formula unit
Spin magnetization ... 0.00 μB/cell
Space group ... No. 123

Unit cell a=6.1397 b=6.1397 c=5.8618 alpha=90.00 beta=90.00 gamma=90.00
Closest atoms and distances in Å follow each position.
Fractional coordinates of all 5 atoms:
K  0.0000  0.0000  0.0000  8 Sr 4.24, 4 Ca 4.34
Sr  0.0000  0.5000  0.5000  2 Pd 3.07
Sr  0.5000  0.0000  0.5000  2 Pd 3.07
Ca  0.5000  0.5000  0.0000  2 Pd 2.93
Pd  0.5000  0.5000  0.5000  2 Ca 2.93, 4 Sr 3.07

No. 10
## KSr2CaPd (PBE)

Data for KSr2CaPd after structural relaxation.

Properties
Energy relative to the elements ... -0.35 eV per formula unit
Uncorrected energy ... -12.0 eV per formula unit
Spin magnetization ... 0.00 μB/cell
Space group ... No. 123

Unit cell a=5.9943 b=5.9943 c=6.3674 alpha=90.00 beta=90.00 gamma=90.00
Closest atoms and distances in Å follow each position.
Fractional coordinates of all 5 atoms:
K  0.0000  0.0000  0.0000  2 Pd 3.18
Sr  0.0000  0.5000  0.5000  2 Pd 3.00
Sr  0.5000  0.0000  0.5000  2 Pd 3.00
Ca  0.5000  0.5000  0.0000  4 K 4.24, 8 Sr 4.37
Pd  0.0000  0.0000  0.5000  4 Sr 3.00, 2 K 3.18

No. 11
## KCaTl2Pd (PBE)

Data for KCaTl2Pd after structural relaxation.

Properties
Energy relative to the elements ... -0.99 eV per formula unit
Uncorrected energy ... -14.0 eV per formula unit
Spin magnetization ... 0.00 μB/cell
Space group ... No. 123

Unit cell a=5.4897 b=5.4897 c=5.4078 alpha=90.00 beta=90.00 gamma=90.00
Closest atoms and distances in Å follow each position.
Fractional coordinates of all 5 atoms:
K  0.0000  0.0000  0.0000  8 Tl 3.85, 4 Ca 3.88
Ca  0.5000  0.5000  0.0000  2 Pd 2.70
Tl  0.0000  0.5000  0.5000  2 Pd 2.74
Tl  0.5000  0.0000  0.5000  2 Pd 2.74
Pd  0.5000  0.5000  0.5000  2 Ca 2.70, 4 Tl 2.74

No. 12
## K2CaVPd (PBE)

Data for K2CaVPd after structural relaxation.

Properties
Energy relative to the elements ... 8.33 eV per formula unit
Uncorrected energy ... -10.2 eV per formula unit
Spin magnetization ... 0.01 μB/cell
Space group ... No. 123

Unit cell a=6.1662 b=6.1662 c=4.8791 alpha=90.00 beta=90.00 gamma=90.00
Closest atoms and distances in Å follow each position.
Fractional coordinates of all 5 atoms:
K  0.0000  0.5000  0.0000  2 Ca 3.08
K  0.5000  0.0000  0.0000  2 Ca 3.08
Ca  0.0000  0.0000  0.0000  2 V 2.44
V  0.0000  0.0000  0.5000  2 Ca 2.44
Pd  0.5000  0.5000  0.5000  8 K 3.93, 4 V 4.36

No. 13
## KCa2YPd (PBE)

Data for KCa2YPd after structural relaxation.

Properties
Energy relative to the elements ... -0.87 eV per formula unit
Uncorrected energy ... -17.6 eV per formula unit
Spin magnetization ... 0.00 μB/cell
Space group ... No. 123

Unit cell a=5.8543 b=5.8543 c=5.5153 alpha=90.00 beta=90.00 gamma=90.00
Closest atoms and distances in Å follow each position.
Fractional coordinates of all 5 atoms:
K  0.0000  0.0000  0.0000  8 Ca 4.02, 4 Y 4.14
Ca  0.0000  0.5000  0.5000  2 Pd 2.93
Ca  0.5000  0.0000  0.5000  2 Pd 2.93
Y  0.5000  0.5000  0.0000  2 Pd 2.76
Pd  0.5000  0.5000  0.5000  2 Y 2.76, 4 Ca 2.93

No. 14
## KCaY2Pd (PBE)

Data for KCaY2Pd after structural relaxation.

Properties
Energy relative to the elements ... -0.51 eV per formula unit
Uncorrected energy ... -21.7 eV per formula unit
Spin magnetization ... 0.00 μB/cell
Space group ... No. 123

Unit cell a=5.5564 b=5.5564 c=5.9291 alpha=90.00 beta=90.00 gamma=90.00
Closest atoms and distances in Å follow each position.
Fractional coordinates of all 5 atoms:
K  0.0000  0.0000  0.0000  4 Ca 3.93, 8 Y 4.06
Ca  0.5000  0.5000  0.0000  2 Pd 2.96
Y  0.0000  0.5000  0.5000  2 Pd 2.78
Y  0.5000  0.0000  0.5000  2 Pd 2.78
Pd  0.5000  0.5000  0.5000  4 Y 2.78, 2 Ca 2.96

No. 15
## KCa2ZnPd (PBE)

Data for KCa2ZnPd after structural relaxation.

Properties
Energy relative to the elements ... -1.02 eV per formula unit
Uncorrected energy ... -12.6 eV per formula unit
Spin magnetization ... 0.00 μB/cell
Space group ... No. 123

Unit cell a=5.6486 b=5.6486 c=5.1429 alpha=90.00 beta=90.00 gamma=90.00
Closest atoms and distances in Å follow each position.
Fractional coordinates of all 5 atoms:
K  0.0000  0.0000  0.0000  8 Ca 3.82, 4 Zn 3.99
Ca  0.0000  0.5000  0.5000  2 Pd 2.82
Ca  0.5000  0.0000  0.5000  2 Pd 2.82
Zn  0.5000  0.5000  0.0000  2 Pd 2.57
Pd  0.5000  0.5000  0.5000  2 Zn 2.57, 4 Ca 2.82

No. 16
## KCaZn2Pd (PBE)

Data for KCaZn2Pd after structural relaxation.

Properties
Energy relative to the elements ... -0.83 eV per formula unit
Uncorrected energy ... -11.7 eV per formula unit
Spin magnetization ... 0.00 μB/cell
Space group ... No. 123

Unit cell a=5.1070 b=5.1070 c=5.3082 alpha=90.00 beta=90.00 gamma=90.00
Closest atoms and distances in Å follow each position.
Fractional coordinates of all 5 atoms:
K  0.0000  0.0000  0.0000  4 Ca 3.61, 8 Zn 3.68
Ca  0.5000  0.5000  0.0000  2 Pd 2.65
Zn  0.0000  0.5000  0.5000  2 Pd 2.55
Zn  0.5000  0.0000  0.5000  2 Pd 2.55
Pd  0.5000  0.5000  0.5000  4 Zn 2.55, 2 Ca 2.65

No. 17
## KCa2Pm (PBE)

Data for KCa2Pm after structural relaxation.

Properties
Energy relative to the elements ... 0.57 eV per formula unit
Uncorrected energy ... -9.3 eV per formula unit
Spin magnetization ... 0.01 μB/cell
Space group ... No. 123

Unit cell a=3.8359 b=3.8359 c=12.1400 alpha=90.00 beta=90.00 gamma=90.00
Closest atoms and distances in Å follow each position.
Fractional coordinates of all 4 atoms:
K  0.0000  0.0000  0.0000  4 K 3.84
Ca  0.5000  0.5000  0.2865  4 Pm 3.75, 4 Ca 3.84
Ca  0.5000  0.5000  0.7135  4 Pm 3.75, 4 Ca 3.84
Pm  0.0000  0.0000  0.5000  8 Ca 3.75, 4 Pm 3.84

No. 18
## KCa2Pm (PBE)

Data for KCa2Pm after structural relaxation.

Properties
Energy relative to the elements ... 0.60 eV per formula unit
Uncorrected energy ... -9.2 eV per formula unit
Spin magnetization ... 0.00 μB/cell
Space group ... No. 166

Unit cell a=3.8667 b=3.8667 c=40.4314 alpha=90.00 beta=90.00 gamma=120.00
Closest atoms and distances in Å follow each position.
Fractional coordinates of all 12 atoms:
K  0.0000  0.0000  0.0000  6 K 3.87, 6 Ca 4.33
K  0.3333  0.6667  0.6667  6 K 3.87, 6 Ca 4.33
K  0.6667  0.3333  0.3333  6 K 3.87, 6 Ca 4.33
Ca  0.0000  0.0000  0.2416  3 Pm 3.76, 6 Ca 3.87
Ca  0.0000  0.0000  0.7584  3 Pm 3.76, 6 Ca 3.87
Ca  0.3333  0.6667  0.4251  3 Pm 3.76, 6 Ca 3.87
Ca  0.3333  0.6667  0.9082  3 Pm 3.76, 6 Ca 3.87
Ca  0.6667  0.3333  0.0918  3 Pm 3.76, 6 Ca 3.87
Ca  0.6667  0.3333  0.5749  3 Pm 3.76, 6 Ca 3.87
Pm  0.0000  0.0000  0.5000  6 Ca 3.76, 6 Pm 3.87
Pm  0.3333  0.6667  0.1667  6 Ca 3.76, 6 Pm 3.87
Pm  0.6667  0.3333  0.8333  6 Ca 3.76, 6 Pm 3.87

No. 19
## KCaPm (PBE)

Data for KCaPm after structural relaxation.

Properties
Energy relative to the elements ... 0.73 eV per formula unit
Uncorrected energy ... -7.1 eV per formula unit
Spin magnetization ... 1.34 μB/cell
Space group ... No. 38

Unit cell a=20.8753 b=3.8097 c=6.5893 alpha=90.00 beta=90.00 gamma=90.00
Closest atoms and distances in Å follow each position.
Fractional coordinates of all 12 atoms:
K  0.1810  0.0000  0.0000  6 K 3.81, 2 Pm 4.23
K  0.1810  0.5000  0.5000  6 K 3.81, 2 Pm 4.23
K  0.8190  0.0000  0.0000  6 K 3.81, 2 Pm 4.23
K  0.8190  0.5000  0.5000  6 K 3.81, 2 Pm 4.23
Ca  0.0000  0.0000  0.6710  6 Ca 3.81
Ca  0.0000  0.5000  0.1710  6 Ca 3.81
Ca  0.5000  0.0000  0.9866  6 Pm 3.73, 6 Ca 3.81
Ca  0.5000  0.5000  0.4866  6 Pm 3.73, 6 Ca 3.81
Pm  0.3555  0.0000  0.6536  3 Ca 3.73, 6 Pm 3.81
Pm  0.3555  0.5000  0.1536  3 Ca 3.73, 6 Pm 3.81
Pm  0.6445  0.0000  0.6536  3 Ca 3.73, 6 Pm 3.81
Pm  0.6445  0.5000  0.1536  3 Ca 3.73, 6 Pm 3.81

No. 20
## KCaPm2Se4 (PBE)

Data for KCaPm2Se4 after structural relaxation.

Properties
Uncorrected energy ... -40.9 eV per formula unit
Spin magnetization ... 0.00 μB/cell
Energy relative to the elements, uncorrected ... -1798 meV per atom
Space group ... No. 10

Unit cell a=7.3961 b=4.2383 c=7.5628 alpha=90.00 beta=108.63 gamma=90.00
Closest atoms and distances in Å follow each position.
Fractional coordinates of all 8 atoms:
K  0.0000  0.0000  0.0000  6 Se 3.12-3.15
Ca  0.5000  0.5000  0.0000  6 Se 3.05-3.07
Pm  0.0000  0.5000  0.5000  6 Se 3.02-3.04
Pm  0.5000  0.0000  0.5000  6 Se 2.94-2.96
Se  0.2557  0.0000  0.7424  3 Pm 2.96-3.04, 2 Ca 3.05, 1 K 3.12
Se  0.2651  0.5000  0.2686  3 Pm 2.94-3.02, 1 Ca 3.07, 2 K 3.15
Se  0.7349  0.5000  0.7314  3 Pm 2.94-3.02, 1 Ca 3.07, 2 K 3.15
Se  0.7443  0.0000  0.2576  3 Pm 2.96-3.04, 2 Ca 3.05, 1 K 3.12